Entry 1:
The following is a DFT calculation (PBE) of a geometry-optimized Na2HoGaI6 structure.

a = 8.641 Å, b = 8.641 Å, c = 8.641 Å
α = 55.36°, β = 55.36°, γ = 55.36°
Fractional coordinates of all 10 atoms:
Na 0.000 0.000 0.000
Na 0.490 0.490 0.490
Ho 0.680 0.680 0.680
Ga 0.188 0.188 0.188
I 0.060 0.431 0.776
I 0.292 0.894 0.597
I 0.431 0.776 0.060
I 0.597 0.292 0.894
I 0.776 0.060 0.431
I 0.894 0.597 0.292

Values from the calculation:
Uncorrected energy in eV/atom: -3.068
ΔE_f (raw) in eV/atom: -1.114
Symmetry: R3

Entry 2:
The following is a DFT calculation (PBE) of a geometry-optimized RbHoGa2I6 structure.

a = 8.977 Å, b = 8.977 Å, c = 8.977 Å
α = 55.10°, β = 55.10°, γ = 55.10°
Fractional coordinates of all 10 atoms:
Rb 0.000 0.000 0.000
Ho 0.488 0.488 0.488
Ga 0.304 0.304 0.304
Ga 0.813 0.813 0.813
I 0.095 0.664 0.451
I 0.251 0.559 0.866
I 0.451 0.095 0.664
I 0.559 0.866 0.251
I 0.664 0.451 0.095
I 0.866 0.251 0.559

Values from the calculation:
Uncorrected energy in eV/atom: -3.077
ΔE_f (raw) in eV/atom: -0.987
Symmetry: R3